Entry 1:
DFT (PBE) results for a geometry-optimized FeSiB structure.

Lattice parameters (Å, degrees): 3.7936 3.9836 4.7464 66.27 74.31 76.25
Element x y z (fractional)
1 Fe 0.2308 0.2438 0.4029
2 Fe 0.7692 0.7562 0.5971
3 Si 0.1847 0.7463 0.9405
4 Si 0.8153 0.2537 0.0595
5 B 0.3282 0.6869 0.4731
6 B 0.6718 0.3131 0.5269

## Properties
Symmetry ... No. 2
Total magnetic moment ... 0.000 μB per atom
D(E_F) ... 1.71 states/eV per cell
Final energy ... -7.009 eV per atom
Uncorrected formation energy ... -154 meV per atom
E above lowest polymorph ... 138 meV per atom

***

Entry 2:
DFT (PBE) results for a geometry-optimized FeSiB3 structure.

Lattice parameters (Å, degrees): 3.7994 3.7994 3.7994 90.00 90.00 90.00
Element x y z (fractional)
1 Fe 0.0000 0.0000 0.0000
2 Si 0.5000 0.5000 0.5000
3 B 0.0000 0.0000 0.5000
4 B 0.0000 0.5000 0.0000
5 B 0.5000 0.0000 0.0000

## Properties
Symmetry ... No. 221
Total magnetic moment ... 0.000 μB per atom
D(E_F) ... 5.18 states/eV per cell
Final energy ... -5.696 eV per atom
Uncorrected formation energy ... 1088 meV per atom
E above lowest polymorph ... 0 meV per atom

***

Entry 3:
DFT (PBE) results for a geometry-optimized FeSiB structure.

Lattice parameters (Å, degrees): 7.1167 3.1385 5.6996 90.00 108.44 90.00
Element x y z (fractional)
1 Fe 0.2296 0.0000 0.3104
2 Fe 0.2704 0.5000 0.6896
3 Fe 0.7296 0.5000 0.3104
4 Fe 0.7704 0.0000 0.6896
5 Si 0.1133 0.0000 0.8700
6 Si 0.3867 0.5000 0.1300
7 Si 0.6133 0.5000 0.8700
8 Si 0.8867 0.0000 0.1300
9 B 0.0411 0.5000 0.3678
10 B 0.4589 0.0000 0.6322
11 B 0.5411 0.0000 0.3678
12 B 0.9589 0.5000 0.6322

## Properties
Symmetry ... No. 12
Total magnetic moment ... 0.202 μB per atom
D(E_F) ... 2.89 states/eV per cell
Final energy ... -7.147 eV per atom
Uncorrected formation energy ... -292 meV per atom
E above lowest polymorph ... 0 meV per atom

***

Entry 4:
DFT (PBE) results for a geometry-optimized FeSiB structure.

Lattice parameters (Å, degrees): 7.3045 2.7508 5.7331 90.00 100.96 90.00
Element x y z (fractional)
1 Fe 0.1013 0.0000 0.2030
2 Fe 0.3988 0.5000 0.7970
3 Fe 0.6012 0.5000 0.2030
4 Fe 0.8988 0.0000 0.7970
5 Si 0.1590 0.0000 0.6273
6 Si 0.3410 0.5000 0.3727
7 Si 0.6590 0.5000 0.6273
8 Si 0.8410 0.0000 0.3727
9 B 0.1388 0.5000 0.9400
10 B 0.3612 0.0000 0.0600
11 B 0.6388 0.0000 0.9400
12 B 0.8612 0.5000 0.0600

## Properties
Symmetry ... No. 12
Total magnetic moment ... 0.000 μB per atom
D(E_F) ... 0.39 states/eV per cell
Final energy ... -7.015 eV per atom
Uncorrected formation energy ... -161 meV per atom
E above lowest polymorph ... 132 meV per atom

***

Entry 5:
DFT (PBE) results for a geometry-optimized FeSiB structure.

Lattice parameters (Å, degrees): 8.0720 2.9166 6.5658 90.00 118.29 90.00
Element x y z (fractional)
1 Fe 0.1579 0.0000 0.2117
2 Fe 0.3421 0.5000 0.7883
3 Fe 0.6579 0.5000 0.2117
4 Fe 0.8421 0.0000 0.7883
5 Si 0.1377 0.0000 0.8333
6 Si 0.3623 0.5000 0.1667
7 Si 0.6377 0.5000 0.8333
8 Si 0.8623 0.0000 0.1667
9 B 0.2438 0.0000 0.5588
10 B 0.2562 0.5000 0.4412
11 B 0.7438 0.5000 0.5588
12 B 0.7562 0.0000 0.4412

## Properties
Symmetry ... No. 12
Total magnetic moment ... 0.000 μB per atom
D(E_F) ... 1.83 states/eV per cell
Final energy ... -7.048 eV per atom
Uncorrected formation energy ... -194 meV per atom
E above lowest polymorph ... 99 meV per atom

***

Entry 6:
DFT (PBE) results for a geometry-optimized FeSiB structure.

Lattice parameters (Å, degrees): 4.0291 4.0349 4.3431 65.25 88.89 77.93
Element x y z (fractional)
1 Fe 0.0000 0.0000 0.0000
2 Fe 0.4208 0.3923 0.0641
3 Si 0.2176 0.4453 0.5382
4 Si 0.8257 0.0500 0.4845
5 B 0.5244 0.8807 0.0230
6 B 0.8757 0.5379 0.9966

## Properties
Symmetry ... No. 1
Total magnetic moment ... 0.000 μB per atom
D(E_F) ... 0.68 states/eV per cell
Final energy ... -6.987 eV per atom
Uncorrected formation energy ... -133 meV per atom
E above lowest polymorph ... 159 meV per atom

***

Entry 7:
DFT (PBE) results for a geometry-optimized FeSiB structure.

Lattice parameters (Å, degrees): 3.9057 3.9240 4.4699 98.85 91.96 114.84
Element x y z (fractional)
1 Fe 0.2343 0.1985 0.3140
2 Fe 0.7657 0.8015 0.6860
3 Si 0.4187 0.1910 0.8340
4 Si 0.5813 0.8090 0.1660
5 B 0.1950 0.7010 0.4784
6 B 0.8050 0.2990 0.5216

## Properties
Symmetry ... No. 2
Total magnetic moment ... 0.000 μB per atom
D(E_F) ... 0.73 states/eV per cell
Final energy ... -7.115 eV per atom
Uncorrected formation energy ... -260 meV per atom
E above lowest polymorph ... 32 meV per atom

***

Entry 8:
DFT (PBE) results for a geometry-optimized Fe3SiB structure.

Lattice parameters (Å, degrees): 5.4489 5.4489 3.9974 90.00 90.00 119.92
Element x y z (fractional)
1 Fe 0.1848 0.3691 0.7500
2 Fe 0.1847 0.8153 0.7500
3 Fe 0.3691 0.1848 0.2500
4 Fe 0.6309 0.8152 0.7500
5 Fe 0.8153 0.1847 0.2500
6 Fe 0.8152 0.6309 0.2500
7 Si 0.3334 0.6666 0.2500
8 Si 0.6666 0.3334 0.7500
9 B 0.0000 0.0000 0.0000
10 B 0.0000 0.0000 0.5000

## Properties
Symmetry ... No. 63
Total magnetic moment ... 0.852 μB per atom
D(E_F) ... 10.10 states/eV per cell
Final energy ... -7.626 eV per atom
Uncorrected formation energy ... -128 meV per atom
E above lowest polymorph ... 0 meV per atom

***

> What is the final energy in the second record?

-5.696 eV per atom

***

Repeat the third record exactly.
DFT (PBE) results for a geometry-optimized FeSiB structure.

Lattice parameters (Å, degrees): 7.1167 3.1385 5.6996 90.00 108.44 90.00
Element x y z (fractional)
1 Fe 0.2296 0.0000 0.3104
2 Fe 0.2704 0.5000 0.6896
3 Fe 0.7296 0.5000 0.3104
4 Fe 0.7704 0.0000 0.6896
5 Si 0.1133 0.0000 0.8700
6 Si 0.3867 0.5000 0.1300
7 Si 0.6133 0.5000 0.8700
8 Si 0.8867 0.0000 0.1300
9 B 0.0411 0.5000 0.3678
10 B 0.4589 0.0000 0.6322
11 B 0.5411 0.0000 0.3678
12 B 0.9589 0.5000 0.6322

## Properties
Symmetry ... No. 12
Total magnetic moment ... 0.202 μB per atom
D(E_F) ... 2.89 states/eV per cell
Final energy ... -7.147 eV per atom
Uncorrected formation energy ... -292 meV per atom
E above lowest polymorph ... 0 meV per atom

***

> Look up the D(E_F) of the sixth one.

0.68 states/eV per cell